A relaxed structure of HfScCoPd, computed with GGA-PBE.

Cell: 6.4732 6.4732 6.4732 Å, 90.00 90.00 90.00°
With the nearest neighbours (Å) after each atom.
Positions (direct):
Hf 0.0000 0.0000 0.0000  4 Co 2.80, 4 Pd 2.80
Hf 0.0000 0.5000 0.5000  4 Co 2.80, 4 Pd 2.80
Hf 0.5000 0.0000 0.5000  4 Co 2.80, 4 Pd 2.80
Hf 0.5000 0.5000 0.0000  4 Co 2.80, 4 Pd 2.80
Sc 0.0000 0.0000 0.5000  4 Pd 2.80, 4 Co 2.80
Sc 0.0000 0.5000 0.0000  4 Pd 2.80, 4 Co 2.80
Sc 0.5000 0.0000 0.0000  4 Pd 2.80, 4 Co 2.80
Sc 0.5000 0.5000 0.5000  4 Co 2.80, 4 Pd 2.80
Co 0.2500 0.2500 0.7500  4 Hf 2.80, 4 Sc 2.80
Co 0.2500 0.7500 0.2500  4 Hf 2.80, 4 Sc 2.80
Co 0.7500 0.2500 0.2500  4 Hf 2.80, 4 Sc 2.80
Co 0.7500 0.7500 0.7500  4 Hf 2.80, 4 Sc 2.80
Pd 0.2500 0.2500 0.2500  4 Hf 2.80, 4 Sc 2.80
Pd 0.2500 0.7500 0.7500  4 Hf 2.80, 4 Sc 2.80
Pd 0.7500 0.2500 0.7500  4 Hf 2.80, 4 Sc 2.80
Pd 0.7500 0.7500 0.2500  4 Hf 2.80, 4 Sc 2.80

energy relative to the elements: -0.5393 eV per atom
DFT total energy: -7.685 eV/atom
symmetry: F-43m

---

A relaxed structure of KCd2SnCl8, computed with GGA-PBE.

Cell: 7.9157 7.9157 7.9157 Å, 106.96 106.96 114.63°
With the nearest neighbours (Å) after each atom.
Positions (direct):
K 0.0000 0.0000 0.0000  8 Cl 3.06-3.36
Cd 0.5000 0.5000 0.0000  4 Cl 2.50
Cd 0.7500 0.2500 0.5000  4 Cl 2.49
Sn 0.2500 0.7500 0.5000  8 Cl 2.81-2.94
Cl 0.3186 0.1104 0.7918  1 Cd 2.50
Cl 0.3186 0.5267 0.2082  1 Cd 2.50
Cl 0.3563 0.0329 0.3234  1 Cd 2.49
Cl 0.4733 0.6814 0.7918  1 Cd 2.50
Cl 0.7094 0.0329 0.6766  1 Cd 2.49
Cl 0.8896 0.6814 0.2082  1 Cd 2.50
Cl 0.9671 0.2906 0.3234  1 Cd 2.49
Cl 0.9671 0.6437 0.6766  1 Cd 2.49

uncorrected formation energy: -1.04 eV/atom
DFT total energy: -2.844 eV/atom
symmetry: I-4m2

---

A relaxed structure of SbIN2F, computed with GGA-PBE.

Cell: 3.9432 3.9432 6.6103 Å, 90.00 90.00 90.00°
With the nearest neighbours (Å) after each atom.
Positions (direct):
Sb 0.0000 0.0000 0.0000  4 N 1.97
I 0.0000 0.0000 0.5000  4 F 2.79
N 0.0000 0.5000 0.0000  2 Sb 1.97
N 0.5000 0.0000 0.0000  2 Sb 1.97
F 0.5000 0.5000 0.5000  4 I 2.79

uncorrected formation energy: 1.10 eV/atom
offset from the most stable computed form: 1.866 eV per formula unit
DFT total energy: -3.741 eV/atom
symmetry: P4/mmm

---

A relaxed structure of Tm2TiGe2Rh5, computed with GGA-PBE.

Cell: 9.6725 9.6725 3.5890 Å, 90.00 90.00 90.00°
With the nearest neighbours (Å) after each atom.
Positions (direct):
Tm 0.1726 0.3274 0.0000  3 Ge 2.75-2.92, 2 Rh 2.97
Tm 0.3274 0.8274 0.0000  3 Ge 2.75-2.92, 2 Rh 2.97
Tm 0.6726 0.1726 0.0000  3 Ge 2.75-2.92, 2 Rh 2.97
Tm 0.8274 0.6726 0.0000  3 Ge 2.75-2.92, 2 Rh 2.97
Ti 0.0000 0.0000 0.0000  8 Rh 2.74
Ti 0.5000 0.5000 0.0000  8 Rh 2.74
Ge 0.1262 0.6262 0.0000  6 Rh 2.49-2.50, 1 Tm 2.75
Ge 0.3738 0.1262 0.0000  6 Rh 2.49-2.50, 1 Tm 2.75
Ge 0.6262 0.8738 0.0000  6 Rh 2.49-2.50, 1 Tm 2.75
Ge 0.8738 0.3738 0.0000  6 Rh 2.49-2.50, 1 Tm 2.75
Rh 0.0000 0.5000 0.5000  4 Ge 2.49
Rh 0.0666 0.7958 0.5000  2 Ge 2.50, 2 Ti 2.74
Rh 0.2042 0.0666 0.5000  2 Ge 2.50, 2 Ti 2.74
Rh 0.2958 0.5666 0.5000  2 Ge 2.50, 2 Ti 2.74
Rh 0.4334 0.2958 0.5000  2 Ge 2.50, 2 Ti 2.74
Rh 0.5000 0.0000 0.5000  4 Ge 2.49
Rh 0.5666 0.7042 0.5000  2 Ge 2.50, 2 Ti 2.74
Rh 0.7042 0.4334 0.5000  2 Ge 2.50, 2 Ti 2.74
Rh 0.7958 0.9334 0.5000  2 Ge 2.50, 2 Ti 2.74
Rh 0.9334 0.2042 0.5000  2 Ge 2.50, 2 Ti 2.74

energy relative to the elements: -0.8398 eV per atom
DFT total energy: -7.123 eV/atom
symmetry: P4/mbm

---

Number 1: D(E_F) 2.63 states/eV/f.u.. Number 2: D(E_F) 4.58 states/eV/f.u.. Number 3: D(E_F) 4.97 states/eV/f.u.. Number 4: D(E_F) 2.88 states/eV/f.u..